Entry 1:
This record from Alexandria via LeMat-Bulk describes a relaxed K2ScCd crystal. The functional is PBE-GGA.

Cell: 7.1137 7.1137 7.1137 Å, 141.20 141.20 56.03°
Sites, in units of the cell vectors:
1 Sc 0.2500 0.7500 0.5000
2 K 0.5000 0.5000 0.0000
3 K 0.0000 0.0000 0.0000
4 Cd 0.7500 0.2500 0.5000

Results
The calculation puts the volume at 140.2 Å³ per cell. The value obtained for the total energy is -1.9356 eV/atom. As for the formation energy: 0.42 eV per atom. The calculation puts the size of the total moment at 1.23 Bohr magnetons per cell.

***

Entry 2:
This record from Alexandria via LeMat-Bulk describes a relaxed RbB7 crystal. The functional is PBE-GGA.

Cell: 5.8288 8.6796 8.6796 Å, 131.46 41.65 138.35°
Sites, in units of the cell vectors:
1 Rb 0.3943 0.1783 0.8217
2 Rb 0.6057 0.8217 0.1783
3 B 0.1821 0.1133 0.4304
4 B 0.7205 0.3381 0.2946
5 B 0.5000 0.8796 0.8796
6 B 0.8784 0.5079 0.4921
7 B 0.2795 0.6619 0.7054
8 B 0.8179 0.4304 0.1133
9 B 0.7206 0.7054 0.6620
10 B 0.1821 0.5696 0.8867
11 B 0.2794 0.2946 0.3380
12 B 0.8179 0.8867 0.5696
13 B 0.5000 0.1204 0.1204
14 B 0.3521 0.4037 0.5963
15 B 0.6479 0.5963 0.4037
16 B 0.1216 0.4921 0.5079

Results
The calculation puts the volume at 188.5 Å³ per cell. The value obtained for the total energy is -5.7318 eV/atom. As for the formation energy: 0.23 eV per atom. The calculation puts the size of the total moment at 0.00 Bohr magnetons per cell.

***

Entry 3:
This record from Alexandria via LeMat-Bulk describes a relaxed ZnCo2Au crystal. The functional is PBE-GGA.

Cell: 3.7473 2.7230 5.9773 Å, 62.73 90.00 90.00°
Sites, in units of the cell vectors:
1 Zn 0.5000 0.2500 0.2500
2 Co 0.0000 0.9717 0.0279
3 Co 0.0000 0.5283 0.4721
4 Au 0.5000 0.7500 0.7500

Results
The calculation puts the volume at 54.2 Å³ per cell. The value obtained for the total energy is -4.5537 eV/atom. As for the formation energy: 0.14 eV per atom. The calculation puts the size of the total moment at 3.01 Bohr magnetons per cell.